LiMnAs: optimized geometry, PBE.

abc: 4.3063 4.3063 3.0739
angles: 90.00 90.00 120.00
Closest atoms and distances in Å follow each position.
Fractional positions:
Li: 0.6667 0.3333 0.5000  6 Mn 2.92, 6 As 2.92, 2 Li 3.07
As: 0.3333 0.6667 0.0000  3 Mn 2.49
Mn: 0.0000 0.0000 0.0000  3 As 2.49

Properties
energy above the lowest structure with this stoichiometry = 367 meV/atom
density = 4.60 g cm⁻³
crystal system = hexagonal
space group = No. 187
spin magnetization = 3.761 μB/f.u.
D(E_F) = 1.125 states/eV per atom
formation energy from the elements = -0.097 eV/atom
volume = 49.4 Å³/f.u.